Record 1
! PBE SmY6Mg, relaxed; values from VASP
&SYSTEM
  ibrav = 0, nat = 8, ntyp = 3
/
ATOMIC_SPECIES
Sm 150.36 Sm.upf
Y 88.91 Y.upf
Mg 24.30 Mg.upf
ATOMIC_POSITIONS crystal
Sm 0.000 0.000 0.000
Y 0.223 0.223 0.385
Y 0.249 0.249 0.855
Y 0.490 0.490 0.275
Y 0.510 0.510 0.725
Y 0.751 0.751 0.145
Y 0.777 0.777 0.615
Mg 0.000 0.000 0.500
CELL_PARAMETERS angstrom
5.896 -2.688 0.000
5.896 2.688 0.000
-3.310 0.000 7.970
! * formation enthalpy at 0 K: 0.220 eV per formula unit
! * E above lowest polymorph: 0.000 eV per atom
! * space-group type: No. 12

Record 2
! PBE Er2S3O12, relaxed; values from VASP
&SYSTEM
  ibrav = 0, nat = 68, ntyp = 3
/
ATOMIC_SPECIES
Er 167.26 Er.upf
S 32.06 S.upf
O 16.00 O.upf
ATOMIC_POSITIONS crystal
Er 0.117 0.250 0.036
Er 0.117 0.750 0.536
Er 0.383 0.250 0.536
Er 0.383 0.750 0.036
Er 0.617 0.250 0.964
Er 0.617 0.750 0.464
Er 0.883 0.250 0.464
Er 0.883 0.750 0.964
S 0.000 0.034 0.750
S 0.000 0.966 0.250
S 0.146 0.391 0.390
S 0.146 0.609 0.890
S 0.354 0.109 0.890
S 0.354 0.891 0.390
S 0.500 0.466 0.250
S 0.500 0.534 0.750
S 0.646 0.109 0.610
S 0.646 0.891 0.110
S 0.854 0.391 0.110
S 0.854 0.609 0.610
O 0.043 0.333 0.430
O 0.043 0.667 0.930
O 0.061 0.127 0.848
O 0.061 0.873 0.348
O 0.072 0.058 0.167
O 0.072 0.942 0.667
O 0.146 0.449 0.909
O 0.146 0.551 0.409
O 0.168 0.357 0.238
O 0.168 0.643 0.738
O 0.225 0.326 0.485
O 0.225 0.674 0.985
O 0.275 0.174 0.985
O 0.275 0.826 0.485
O 0.332 0.143 0.738
O 0.332 0.857 0.238
O 0.354 0.051 0.409
O 0.354 0.949 0.909
O 0.428 0.442 0.667
O 0.428 0.558 0.167
O 0.439 0.373 0.348
O 0.439 0.627 0.848
O 0.457 0.167 0.930
O 0.457 0.833 0.430
O 0.543 0.167 0.570
O 0.543 0.833 0.070
O 0.561 0.373 0.152
O 0.561 0.627 0.652
O 0.572 0.442 0.833
O 0.572 0.558 0.333
O 0.646 0.051 0.091
O 0.646 0.949 0.591
O 0.668 0.143 0.762
O 0.668 0.857 0.262
O 0.725 0.174 0.515
O 0.725 0.826 0.015
O 0.775 0.326 0.015
O 0.775 0.674 0.515
O 0.832 0.357 0.262
O 0.832 0.643 0.762
O 0.854 0.449 0.591
O 0.854 0.551 0.091
O 0.928 0.058 0.333
O 0.928 0.942 0.833
O 0.939 0.127 0.652
O 0.939 0.873 0.152
O 0.957 0.333 0.070
O 0.957 0.667 0.570
CELL_PARAMETERS angstrom
12.909 0.000 0.000
0.000 9.234 0.000
0.000 0.000 9.318
! * formation energy from raw total energies: -2.177 eV per atom
! * space-group type: No. 60

Record 3
! PBE Nd5Dy2Tl, relaxed; values from VASP
&SYSTEM
  ibrav = 0, nat = 8, ntyp = 3
/
ATOMIC_SPECIES
Nd 144.24 Nd.upf
Dy 162.50 Dy.upf
Tl 204.38 Tl.upf
ATOMIC_POSITIONS crystal
Nd 0.000 0.000 0.000
Nd 0.104 0.369 0.735
Nd 0.366 0.631 0.735
Nd 0.634 0.369 0.265
Nd 0.896 0.631 0.265
Dy 0.269 0.269 0.000
Dy 0.731 0.731 0.000
Tl 0.500 0.000 0.500
CELL_PARAMETERS angstrom
-1.754 5.684 6.568
1.754 -5.684 6.568
1.754 5.684 -6.568
! * formation enthalpy at 0 K: -0.036 eV per formula unit
! * E above lowest polymorph: 0.044 eV per atom
! * space-group type: No. 71

no.,DFT total energy (eV per atom)
1,-5.61
2,-6.94
3,-4.43